Entry 1
A plane-wave DFT calculation with PBE was carried out for crystalline CoCuReAs at its relaxed geometry.

a = 4.2088 Å, b = 4.2088 Å, c = 4.2088 Å
α = 60.00°, β = 60.00°, γ = 60.00°
With the nearest neighbours (Å) after each atom.
Positions (direct):
Cu 0.7500 0.7500 0.7500  4 Co 2.58, 4 As 2.58
Co 0.5000 0.5000 0.5000  4 Re 2.58, 4 Cu 2.58
Re 0.2500 0.2500 0.2500  4 Co 2.58, 4 As 2.58
As 0.0000 0.0000 0.0000  4 Re 2.58, 4 Cu 2.58

Computed properties:
- crystal system = cubic


Entry 2
A plane-wave DFT calculation with PBE was carried out for crystalline CoCuReAs at its relaxed geometry.

a = 4.1730 Å, b = 4.1730 Å, c = 4.1730 Å
α = 60.00°, β = 60.00°, γ = 60.00°
With the nearest neighbours (Å) after each atom.
Positions (direct):
As 0.0000 0.0000 0.0000  4 Re 2.56, 4 Co 2.56
Cu 0.5000 0.5000 0.5000  4 Co 2.56, 4 Re 2.56
Re 0.2500 0.2500 0.2500  4 Cu 2.56, 4 As 2.56
Co 0.7500 0.7500 0.7500  4 Cu 2.56, 4 As 2.56

Computed properties:
- crystal system = cubic


The data favor entry 2; the next most stable structure lies 3.3 kJ/mol of atoms above it.